DFT (PBE) results for an optimized crystal structure of La5TmIn2.

Summary:
Energy relative to the lowest polymorph listed for this composition, meV/atom: 9.6
Total DFT energy (no corrections), eV per atom: -4.50
ΔH_f (0 K), eV per atom: -0.18
Spin magnetization, μB/cell: 0.0

Lattice parameters (Å, degrees): 5.213 12.211 16.711 90.00 90.00 90.00
Space group Cmcm (No. 63)
Symmetry-distinct sites (fractional):
La: 0.000 0.024 0.250 x4
La: 0.000 0.148 0.529 x8
La: 0.000 0.465 0.603 x8
Tm: 0.000 0.254 0.750 x4
In: 0.000 0.270 0.151 x8

---

DFT (PBE) results for an optimized crystal structure of LaTm2In.

Summary:
Energy relative to the lowest polymorph listed for this composition, meV/atom: 94.7
Total DFT energy (no corrections), eV per atom: -4.30
ΔH_f (0 K), eV per atom: -0.15
Spin magnetization, μB/cell: 2.3

Lattice parameters (Å, degrees): 7.782 7.782 7.782 90.00 90.00 90.00
Space group F-43m (No. 216)
Symmetry-distinct sites (fractional):
La: 0.000 0.000 0.000 x4
Tm: 0.000 0.000 0.500 x4
Tm: 0.250 0.250 0.750 x4
In: 0.250 0.250 0.250 x4

---

DFT (PBE) results for an optimized crystal structure of La2Tm5In.

Summary:
Total DFT energy (no corrections), eV per atom: -4.45
ΔH_f (0 K), eV per atom: -0.09
Spin magnetization, μB/cell: 0.0

Lattice parameters (Å, degrees): 6.659 6.661 7.101 105.04 105.89 115.51
Space group P1 (No. 1)
Symmetry-distinct sites (fractional):
La: 0.000 0.000 0.000 x1
La: 0.425 0.889 0.315 x1
Tm: 0.001 0.005 0.488 x1
Tm: 0.409 0.908 0.822 x1
Tm: 0.481 0.485 0.488 x1
Tm: 0.889 0.425 0.315 x1
Tm: 0.913 0.413 0.821 x1
In: 0.485 0.478 0.964 x1

---

DFT (PBE) results for an optimized crystal structure of LaTm2In2.

Summary:
Energy relative to the lowest polymorph listed for this composition, meV/atom: 0.0
Total DFT energy (no corrections), eV per atom: -4.13
ΔH_f (0 K), eV per atom: -0.26
Spin magnetization, μB/cell: 0.0

Lattice parameters (Å, degrees): 3.423 24.206 3.532 90.00 90.00 90.00
Space group Cmmm (No. 65)
Symmetry-distinct sites (fractional):
La: 0.000 0.000 0.000 x2
Tm: 0.000 0.187 0.000 x4
In: 0.000 0.400 0.500 x4

---

DFT (PBE) results for an optimized crystal structure of La4TmIn.

Summary:
Energy relative to the lowest polymorph listed for this composition, meV/atom: 0.0
Total DFT energy (no corrections), eV per atom: -4.64
ΔH_f (0 K), eV per atom: -0.16
Spin magnetization, μB/cell: 0.0

Lattice parameters (Å, degrees): 6.267 7.174 9.049 90.00 104.72 90.00
Space group P2_1/m (No. 11)
Symmetry-distinct sites (fractional):
La: 0.000 0.000 0.000 x2
La: 0.224 0.001 0.654 x4
La: 0.491 0.750 0.005 x2
Tm: 0.296 0.250 0.331 x2
In: 0.283 0.750 0.342 x2

---

DFT (PBE) results for an optimized crystal structure of LaTm2In.

Summary:
Energy relative to the lowest polymorph listed for this composition, meV/atom: 21.2
Total DFT energy (no corrections), eV per atom: -4.37
ΔH_f (0 K), eV per atom: -0.22
Spin magnetization, μB/cell: 0.0

Lattice parameters (Å, degrees): 4.792 4.889 11.089 90.00 102.38 90.00
Space group P2_1/m (No. 11)
Symmetry-distinct sites (fractional):
La: 0.189 0.250 0.381 x2
Tm: 0.055 0.750 0.112 x2
Tm: 0.439 0.750 0.877 x2
In: 0.345 0.250 0.685 x2

---

DFT (PBE) results for an optimized crystal structure of LaYTmIn.

Summary:
Energy relative to the lowest polymorph listed for this composition, meV/atom: 39.4
Total DFT energy (no corrections), eV per atom: -4.74
ΔH_f (0 K), eV per atom: -0.09
Spin magnetization, μB/cell: 6.1

Lattice parameters (Å, degrees): 7.764 7.764 7.764 90.00 90.00 90.00
Space group F-43m (No. 216)
Symmetry-distinct sites (fractional):
La: 0.000 0.000 0.000 x4
Y: 0.250 0.250 0.750 x4
Tm: 0.250 0.250 0.250 x4
In: 0.000 0.000 0.500 x4

---

DFT (PBE) results for an optimized crystal structure of LaYTmIn.

Summary:
Energy relative to the lowest polymorph listed for this composition, meV/atom: 0.0
Total DFT energy (no corrections), eV per atom: -4.78
ΔH_f (0 K), eV per atom: -0.13
Spin magnetization, μB/cell: 3.9

Lattice parameters (Å, degrees): 7.828 7.828 7.828 90.00 90.00 90.00
Space group F-43m (No. 216)
Symmetry-distinct sites (fractional):
La: 0.000 0.000 0.000 x4
Y: 0.250 0.250 0.750 x4
Tm: 0.000 0.000 0.500 x4
In: 0.250 0.250 0.250 x4

---

DFT (PBE) results for an optimized crystal structure of La2YTm2In5.

Summary:
Total DFT energy (no corrections), eV per atom: -4.26
ΔH_f (0 K), eV per atom: -0.37
Spin magnetization, μB/cell: 0.0

Lattice parameters (Å, degrees): 11.017 11.017 4.668 90.00 90.00 90.00
Space group P4/mbm (No. 127)
Symmetry-distinct sites (fractional):
La: 0.176 0.324 0.000 x4
Y: 0.000 0.000 0.000 x2
Tm: 0.124 0.624 0.000 x4
In: 0.000 0.500 0.500 x2
In: 0.062 0.804 0.500 x8

---

DFT (PBE) results for an optimized crystal structure of LaTm2Zn2In2.

Summary:
Total DFT energy (no corrections), eV per atom: -3.42
ΔH_f (0 K), eV per atom: -0.29
Spin magnetization, μB/cell: 0.0

Lattice parameters (Å, degrees): 4.7500 4.7500 27.4913 90.00 90.00 120.00
Space group R-3m (No. 166, hexagonal axes)
Symmetry-distinct sites (fractional):
La: 0.0000 0.0000 0.0000 x3
Tm: 0.0000 0.0000 0.1309 x6
Zn: 0.0000 0.0000 0.4187 x6
In: 0.0000 0.0000 0.2583 x6

---

DFT (PBE) results for an optimized crystal structure of LaV2In.

Summary:
Total DFT energy (no corrections), eV per atom: -5.65
ΔH_f (0 K), eV per atom: 0.82
Spin magnetization, μB/cell: 22.3

Lattice parameters (Å, degrees): 7.925 7.925 6.241 90.00 90.00 90.00
Space group I-42d (No. 122)
Symmetry-distinct sites (fractional):
La: 0.000 0.000 0.000 x4
V: 0.221 0.250 0.625 x8
In: 0.000 0.000 0.500 x4

---

DFT (PBE) results for an optimized crystal structure of La2VIn2.

Summary:
Total DFT energy (no corrections), eV per atom: -4.96
ΔH_f (0 K), eV per atom: -0.07
Spin magnetization, μB/cell: 7.5

Lattice parameters (Å, degrees): 7.791 7.791 4.837 90.00 90.00 90.00
Space group P4/mbm (No. 127)
Symmetry-distinct sites (fractional):
La: 0.166 0.334 0.000 x4
V: 0.000 0.000 0.500 x2
In: 0.138 0.638 0.500 x4

---

DFT (PBE) results for an optimized crystal structure of LaY2VIn.

Summary:
Total DFT energy (no corrections), eV per atom: -5.36
ΔH_f (0 K), eV per atom: 0.58
Spin magnetization, μB/cell: 2.8

Lattice parameters (Å, degrees): 5.735 5.735 5.170 90.00 90.00 90.00
Space group P4/mmm (No. 123)
Symmetry-distinct sites (fractional):
La: 0.000 0.000 0.000 x1
Y: 0.000 0.500 0.500 x2
V: 0.500 0.500 0.000 x1
In: 0.500 0.500 0.500 x1

---

DFT (PBE) results for an optimized crystal structure of LaInW3.

Summary:
Energy relative to the lowest polymorph listed for this composition, meV/atom: 0.0
Total DFT energy (no corrections), eV per atom: -7.04
ΔH_f (0 K), eV per atom: 2.26
Spin magnetization, μB/cell: 0.0

Lattice parameters (Å, degrees): 5.005 5.005 5.005 90.00 90.00 90.00
Space group Pm-3m (No. 221)
Symmetry-distinct sites (fractional):
La: 0.000 0.000 0.000 x1
In: 0.500 0.500 0.500 x1
W: 0.000 0.500 0.500 x3

---

DFT (PBE) results for an optimized crystal structure of LaInW3.

Summary:
Energy relative to the lowest polymorph listed for this composition, meV/atom: 552.3
Total DFT energy (no corrections), eV per atom: -6.49
ΔH_f (0 K), eV per atom: 2.81
Spin magnetization, μB/cell: 0.0

Lattice parameters (Å, degrees): 4.904 4.904 4.904 90.00 90.00 90.00
Space group Pm-3m (No. 221)
Symmetry-distinct sites (fractional):
La: 0.000 0.000 0.000 x1
In: 0.500 0.500 0.500 x1
W: 0.000 0.000 0.500 x3

---

DFT (PBE) results for an optimized crystal structure of La2InW2.

Summary:
Energy relative to the lowest polymorph listed for this composition, meV/atom: 0.0
Total DFT energy (no corrections), eV per atom: -7.35
ΔH_f (0 K), eV per atom: 0.35
Spin magnetization, μB/cell: 0.0

Lattice parameters (Å, degrees): 7.350 7.350 4.699 90.00 90.00 90.00
Space group P4/mbm (No. 127)
Symmetry-distinct sites (fractional):
La: 0.182 0.318 0.000 x4
In: 0.000 0.000 0.500 x2
W: 0.116 0.616 0.500 x4

---

DFT (PBE) results for an optimized crystal structure of LaInW.

Summary:
Energy relative to the lowest polymorph listed for this composition, meV/atom: 975.2
Total DFT energy (no corrections), eV per atom: -5.43
ΔH_f (0 K), eV per atom: 1.44
Spin magnetization, μB/cell: 11.7

Lattice parameters (Å, degrees): 7.187 7.187 7.187 90.00 90.00 90.00
Space group F-43m (No. 216)
Symmetry-distinct sites (fractional):
La: 0.000 0.000 0.000 x4
In: 0.250 0.250 0.250 x4
W: 0.250 0.250 0.750 x4

---

DFT (PBE) results for an optimized crystal structure of LaIn3W.

Summary:
Energy relative to the lowest polymorph listed for this composition, meV/atom: 1976.9
Total DFT energy (no corrections), eV per atom: -3.00
ΔH_f (0 K), eV per atom: 2.21
Spin magnetization, μB/cell: 0.0

Lattice parameters (Å, degrees): 5.771 5.771 5.771 90.00 90.00 90.00
Space group Pm-3m (No. 221)
Symmetry-distinct sites (fractional):
La: 0.000 0.000 0.000 x1
In: 0.000 0.000 0.500 x3
W: 0.500 0.500 0.500 x1

---

DFT (PBE) results for an optimized crystal structure of LaInW.

Summary:
Energy relative to the lowest polymorph listed for this composition, meV/atom: 376.9
Total DFT energy (no corrections), eV per atom: -6.03
ΔH_f (0 K), eV per atom: 0.84
Spin magnetization, μB/cell: 0.0

Lattice parameters (Å, degrees): 6.800 6.800 6.800 90.00 90.00 90.00
Space group F-43m (No. 216)
Symmetry-distinct sites (fractional):
La: 0.000 0.000 0.000 x4
In: 0.000 0.000 0.500 x4
W: 0.250 0.250 0.250 x4

---

DFT (PBE) results for an optimized crystal structure of LaInW.

Summary:
Energy relative to the lowest polymorph listed for this composition, meV/atom: 27.5
Total DFT energy (no corrections), eV per atom: -6.38
ΔH_f (0 K), eV per atom: 0.49
Spin magnetization, μB/cell: 0.0

Lattice parameters (Å, degrees): 3.074 3.875 12.206 90.00 90.00 90.00
Space group Imm2 (No. 44)
Symmetry-distinct sites (fractional):
La: 0.000 0.000 0.000 x2
In: 0.000 0.000 0.708 x2
W: 0.000 0.000 0.331 x2